First-principles (PBE) data for a relaxed structure of LaMgCo2Ge2, as listed in the Open Quantum Materials Database.

As for the volume: 18.49 Å³ per atom. The electronic total energy is -32.57 eV per cell. Its calculated density is 6.4 g cm⁻³.

The space group is P4mm (No. 99) and the conventional cell measures 4.142, 4.142 and 6.468 Å, with angles of 90.00, 90.00 and 90.00 degrees. Symmetry generates all atoms from La at (0.000, 0.000, 0.000), Mg at (0.500, 0.500, 0.636), Co at (0.000, 0.500, 0.349), Ge at (0.000, 0.000, 0.528) and Ge at (0.500, 0.500, 0.160).